Record 1
Entry from the Alexandria database: a relaxed structure of CaSbI3 (PBE-GGA).

a b c (Å): 6.0846 6.0846 6.0846
angles (deg): 90.00 90.00 90.00
Fractional positions:
1 I 0.0000 0.5000 0.0000
2 I 0.0000 0.0000 0.5000
3 I 0.5000 0.0000 0.0000
4 Sb 0.5000 0.5000 0.5000
5 Ca 0.0000 0.0000 0.0000

Calculated values
For the total energy, the calculation gives -2.5887 eV/atom. As for the energy above the most stable polymorph in this dataset: 0.000 eV/atom. Its space-group type is Pm-3m (221). The value obtained for the formation energy (no corrections) is -41.9 kJ per mole of atoms. The mass density comes out at 3.999 g/cm³.

Record 2
Entry from the Alexandria database: a relaxed structure of Ca2Pr4Sm5 (PBE-GGA).

a b c (Å): 3.6621 9.6549 11.9502
angles (deg): 108.25 90.00 90.00
Fractional positions:
1 Ca 0.0000 0.8572 0.5887
2 Ca 0.0000 0.1428 0.4113
3 Pr 0.5000 0.2370 0.7184
4 Pr 0.5000 0.7519 0.8465
5 Pr 0.5000 0.7630 0.2816
6 Pr 0.5000 0.2481 0.1535
7 Sm 0.0000 0.5053 0.3585
8 Sm 0.0000 0.9105 0.1039
9 Sm 0.0000 0.5000 0.0000
10 Sm 0.0000 0.0895 0.8961
11 Sm 0.0000 0.4947 0.6415

Calculated values
For the total energy, the calculation gives -4.1320 eV/atom. The calculation puts the formation energy at 122 kJ/mol of formula units. Its space-group type is P2/m (10). The mass density comes out at 5.775 g/cm³.